1.
The following is a PBE calculation of a relaxed structure of ScCd2Ag4, from Alexandria via LeMat-Bulk.

## Properties
- crystal system = tetragonal

abc: 6.011 5.819 5.819
angles: 74.53 58.91 58.91
Atoms (fractional coordinates):
Sc1 0.000 0.000 0.000
Cd1 0.500 0.500 0.500
Ag1 0.000 0.000 0.500
Cd2 0.000 0.500 0.500
Ag2 0.500 0.500 0.000
Ag3 0.000 0.500 0.000
Ag4 0.500 0.000 0.500

2.
The following is a PBE calculation of a relaxed structure of ScCd2Ag4, from Alexandria via LeMat-Bulk.

## Properties
- crystal system = triclinic

abc: 4.818 4.773 7.393
angles: 87.47 69.87 58.92
Atoms (fractional coordinates):
Cd1 0.852 0.576 0.722
Ag1 0.287 0.859 0.570
Ag2 0.566 0.715 0.151
Ag3 0.713 0.141 0.430
Ag4 0.434 0.285 0.849
Sc1 0.000 0.000 0.000
Cd2 0.148 0.424 0.278

Which of them is most stable? Easy: 2.

1.
The following is a PBE calculation of a relaxed structure of Sc3CdAg, from Alexandria via LeMat-Bulk.

## Properties
- crystal system = orthorhombic

abc: 4.805 4.799 9.852
angles: 90.00 75.89 90.00
Each line ends with the local moment (μB).
Atoms (fractional coordinates):
Sc1 0.267 0.750 0.114  0.29
Sc2 0.883 0.750 0.883  0.28
Ag1 0.980 0.250 0.688  0.01
Sc3 0.074 0.750 0.500  0.04
Ag2 0.668 0.750 0.312  0.01
Sc4 0.381 0.250 0.886  0.29
Sc5 0.766 0.250 0.117  0.28
Cd1 0.171 0.250 0.307  0.00
Cd2 0.478 0.750 0.693  0.00
Sc6 0.574 0.250 0.500  0.04

2.
The following is a PBE calculation of a relaxed structure of Sc3CdAg, from Alexandria via LeMat-Bulk.

## Properties
- crystal system = cubic

abc: 5.179 5.179 5.179
angles: 90.00 90.00 90.00
Each line ends with the local moment (μB).
Atoms (fractional coordinates):
Sc1 0.500 0.000 0.000  0.25
Ag1 0.000 0.000 0.000  0.04
Cd1 0.500 0.500 0.500  0.03
Sc2 0.000 0.000 0.500  0.10
Sc3 0.000 0.500 0.000  0.21

Which of them is most stable? Easy: 1.

1.
The following is a PBE calculation of a relaxed structure of ScCd6Ag3, from Alexandria via LeMat-Bulk.

## Properties
- crystal system = monoclinic

abc: 4.537 9.414 9.592
angles: 91.94 90.00 90.00
Atoms (fractional coordinates):
Cd1 0.750 0.378 0.308
Cd2 0.750 0.831 0.792
Ag1 0.750 0.441 0.601
Sc1 0.250 0.941 0.605
Sc2 0.750 0.059 0.395
Cd3 0.250 0.169 0.208
Cd4 0.750 0.149 0.711
Cd5 0.250 0.256 0.515
Ag2 0.250 0.752 0.977
Ag3 0.750 0.248 0.023
Ag4 0.750 0.659 0.184
Cd6 0.750 0.944 0.091
Cd7 0.250 0.622 0.692
Cd8 0.250 0.056 0.909
Cd9 0.750 0.530 0.897
Cd10 0.250 0.851 0.289
Cd11 0.750 0.744 0.485
Ag5 0.250 0.559 0.399
Ag6 0.250 0.341 0.816
Cd12 0.250 0.470 0.103

2.
The following is a PBE calculation of a relaxed structure of ScCd6Ag3, from Alexandria via LeMat-Bulk.

## Properties
- crystal system = monoclinic

abc: 3.093 11.382 12.100
angles: 101.63 90.00 90.00
Each line ends with the local moment (μB).
Atoms (fractional coordinates):
Cd1 0.250 0.872 0.519  0.00
Cd2 0.250 0.226 0.280  0.00
Sc1 0.750 0.038 0.721  0.16
Ag1 0.750 0.072 0.099  0.00
Cd3 0.250 0.188 0.926  0.00
Cd4 0.250 0.497 0.311  0.00
Cd5 0.750 0.774 0.720  0.00
Cd6 0.750 0.503 0.689  0.00
Ag2 0.750 0.421 0.901  0.00
Cd7 0.750 0.128 0.481  0.00
Sc2 0.250 0.962 0.279  0.16
Cd8 0.250 0.267 0.699  0.00
Cd9 0.750 0.352 0.114  0.00
Ag3 0.250 0.579 0.099  0.00
Cd10 0.250 0.648 0.886  0.00
Ag4 0.250 0.928 0.901  0.00
Cd11 0.750 0.733 0.301  0.00
Cd12 0.750 0.812 0.074  0.00
Ag5 0.250 0.377 0.498  0.00
Ag6 0.750 0.623 0.502  0.00

Which of them is most stable? Easy: 1.